w | The following is a DFT calculation (PBE) of a geometry-optimized AlGe2Pd2 structure.

Cell: 7.3702 7.3702 3.1290 Å, 90.00 90.00 90.00°
Closest atoms and distances in Å follow each position.
Element x y z (fractional)
1 Ge 0.8400 0.3400 0.5000  6 Pd 2.61-2.71
2 Ge 0.1600 0.6600 0.5000  6 Pd 2.61-2.71
3 Ge 0.6600 0.8400 0.5000  6 Pd 2.61-2.71
4 Ge 0.3400 0.1600 0.5000  6 Pd 2.61-2.71
5 Al 0.5000 0.5000 0.0000  4 Pd 2.85, 2 Al 3.13, 8 Ge 3.18
6 Al 0.0000 0.0000 0.0000  4 Pd 2.85, 2 Al 3.13, 8 Ge 3.18
7 Pd 0.8603 0.6397 0.0000  6 Ge 2.61-2.71, 2 Al 2.85, 1 Pd 2.91
8 Pd 0.1397 0.3603 0.0000  6 Ge 2.61-2.71, 2 Al 2.85, 1 Pd 2.91
9 Pd 0.3603 0.8603 0.0000  6 Ge 2.61-2.71, 2 Al 2.85, 1 Pd 2.91
10 Pd 0.6397 0.1397 0.0000  6 Ge 2.61-2.71, 2 Al 2.85, 1 Pd 2.91

Calculated values
As for the density of states at the Fermi level: 4.7 states/eV per cell. The calculated volume comes out at 17.00 A^3/atom. Its space-group type is P4/mbm (127). The calculation puts the total moment at 0.00 Bohr magnetons per cell.

=====

x | The following is a DFT calculation (PBE) of a geometry-optimized AlGe2Pd2 structure.

Cell: 7.7771 7.7771 2.8102 Å, 90.00 90.00 90.00°
Closest atoms and distances in Å follow each position.
Element x y z (fractional)
1 Pd 0.6670 0.8330 0.5000  6 Ge 2.63-2.72, 2 Pd 2.81
2 Pd 0.1670 0.6670 0.5000  6 Ge 2.63-2.72, 2 Pd 2.81
3 Pd 0.3330 0.1670 0.5000  6 Ge 2.63-2.72, 2 Pd 2.81
4 Pd 0.8330 0.3330 0.5000  6 Ge 2.63-2.72, 2 Pd 2.81
5 Ge 0.8694 0.6306 0.0000  6 Pd 2.63-2.72, 3 Ge 2.81-2.87
6 Ge 0.3694 0.8694 0.0000  6 Pd 2.63-2.72, 3 Ge 2.81-2.87
7 Ge 0.6306 0.1306 0.0000  6 Pd 2.63-2.72, 3 Ge 2.81-2.87
8 Ge 0.1306 0.3694 0.0000  6 Pd 2.63-2.72, 3 Ge 2.81-2.87
9 Al 0.0000 0.0000 0.0000  2 Al 2.81, 4 Ge 3.05
10 Al 0.5000 0.5000 0.0000  2 Al 2.81, 4 Ge 3.05

Calculated values
As for the density of states at the Fermi level: 4.0 states/eV per cell. The calculated volume comes out at 17.00 A^3/atom. Its space-group type is P4/mbm (127). The calculation puts the total moment at 0.00 Bohr magnetons per cell.

=====

Relative energies, unit meV/atom: w 0; x 55

=====

w | The following is a DFT calculation (PBE) of a geometry-optimized Al3GePd structure.

Cell: 4.7258 4.7258 4.7258 Å, 90.00 90.00 90.00°
Closest atoms and distances in Å follow each position.
Element x y z (fractional)
1 Al 0.5000 0.0000 0.0000  2 Pd 2.36
2 Al 0.0000 0.0000 0.5000  2 Pd 2.36
3 Al 0.0000 0.5000 0.0000  2 Pd 2.36
4 Ge 0.5000 0.5000 0.5000  12 Al 3.34
5 Pd 0.0000 0.0000 0.0000  6 Al 2.36

Calculated values
As for the density of states at the Fermi level: 3.0 states/eV per cell. The calculated volume comes out at 21.11 A^3/atom. Its space-group type is Pm-3m (221). The calculation puts the total moment at 0.00 Bohr magnetons per cell.

=====

x | The following is a DFT calculation (PBE) of a geometry-optimized Al3GePd structure.

Cell: 4.7796 4.7796 4.7796 Å, 90.00 90.00 90.00°
Closest atoms and distances in Å follow each position.
Element x y z (fractional)
1 Al 0.5000 0.0000 0.0000  2 Ge 2.39
2 Al 0.0000 0.0000 0.5000  2 Ge 2.39
3 Al 0.0000 0.5000 0.0000  2 Ge 2.39
4 Ge 0.0000 0.0000 0.0000  6 Al 2.39
5 Pd 0.5000 0.5000 0.5000  12 Al 3.38

Calculated values
As for the density of states at the Fermi level: 2.4 states/eV per cell. The calculated volume comes out at 21.84 A^3/atom. Its space-group type is Pm-3m (221). The calculation puts the total moment at 0.00 Bohr magnetons per cell.

=====

Relative energies, unit meV/atom: w 0; x 545

=====

w | The following is a DFT calculation (PBE) of a geometry-optimized Pm4AlGe structure.

Cell: 7.3256 7.3256 8.2955 Å, 116.20 116.20 90.00°
Closest atoms and distances in Å follow each position.
Element x y z (fractional)
1 Pm 0.6976 0.5337 0.7314  2 Ge 3.11, 2 Al 3.23, 3 Pm 3.45-3.48
2 Pm 0.5337 0.0337 0.7314  2 Ge 3.11, 2 Al 3.23, 3 Pm 3.45-3.48
3 Pm 0.3024 0.4663 0.2686  2 Ge 3.11, 2 Al 3.23, 3 Pm 3.45-3.48
4 Pm 0.8024 0.3024 0.2686  2 Ge 3.11, 2 Al 3.23, 3 Pm 3.45-3.48
5 Pm 0.0337 0.1976 0.7314  2 Ge 3.11, 2 Al 3.23, 3 Pm 3.45-3.48
6 Pm 0.1976 0.6976 0.7314  2 Ge 3.11, 2 Al 3.23, 3 Pm 3.45-3.48
7 Pm 0.4663 0.9663 0.2686  2 Ge 3.11, 2 Al 3.23, 3 Pm 3.45-3.48
8 Pm 0.9663 0.8024 0.2686  2 Ge 3.11, 2 Al 3.23, 3 Pm 3.45-3.48
9 Ge 0.2500 0.2500 0.5000  8 Pm 3.11, 2 Al 3.24
10 Ge 0.7500 0.7500 0.5000  8 Pm 3.11, 2 Al 3.24
11 Al 0.5000 0.5000 0.0000  8 Pm 3.23, 2 Ge 3.24
12 Al 0.0000 0.0000 0.0000  8 Pm 3.23, 2 Ge 3.24

Calculated values
As for the density of states at the Fermi level: 16.6 states/eV per cell. The calculated volume comes out at 28.98 A^3/atom. Its space-group type is I4/mcm (140). The calculation puts the total moment at 0.00 Bohr magnetons per cell.

=====

x | The following is a DFT calculation (PBE) of a geometry-optimized Pm4AlGe structure.

Cell: 9.9353 9.9353 9.9353 Å, 60.00 60.00 60.00°
Closest atoms and distances in Å follow each position.
Element x y z (fractional)
1 Al 0.1729 0.1729 0.1729  3 Al 3.07, 3 Pm 3.31
2 Al 0.4814 0.1729 0.1729  3 Al 3.07, 3 Pm 3.31
3 Al 0.1729 0.4814 0.1729  3 Al 3.07, 3 Pm 3.31
4 Al 0.1729 0.1729 0.4814  3 Al 3.07, 3 Pm 3.31
5 Pm 0.1864 0.8136 0.1864  2 Al 3.44, 2 Ge 3.60, 10 Pm 3.60-3.70
6 Pm 0.9477 0.5523 0.5523  2 Ge 2.96
7 Pm 0.5523 0.5523 0.9477  2 Ge 2.96
8 Pm 0.3905 0.8284 0.3905  3 Ge 3.03, 3 Al 3.31
9 Pm 0.3905 0.3905 0.3905  3 Ge 3.03, 3 Al 3.31
10 Pm 0.8136 0.8136 0.1864  2 Al 3.44, 2 Ge 3.60, 10 Pm 3.60-3.70
11 Pm 0.8136 0.1864 0.1864  2 Al 3.44, 2 Ge 3.60, 10 Pm 3.60-3.70
12 Pm 0.8136 0.1864 0.8136  2 Al 3.44, 2 Ge 3.60, 10 Pm 3.60-3.70
13 Pm 0.5523 0.9477 0.9477  2 Ge 2.96
14 Pm 0.3905 0.3905 0.8284  3 Ge 3.03, 3 Al 3.31
15 Pm 0.1864 0.8136 0.8136  2 Al 3.44, 2 Ge 3.60, 10 Pm 3.60-3.70
16 Pm 0.8284 0.3905 0.3905  3 Ge 3.03, 3 Al 3.31
17 Pm 0.9477 0.5523 0.9477  2 Ge 2.96
18 Pm 0.1864 0.1864 0.8136  2 Al 3.44, 2 Ge 3.60, 10 Pm 3.60-3.70
19 Pm 0.9477 0.9477 0.5523  2 Ge 2.96
20 Pm 0.5523 0.9477 0.5523  2 Ge 2.96
21 Ge 0.6061 0.6061 0.6061  6 Pm 2.96-3.03
22 Ge 0.1816 0.6061 0.6061  6 Pm 2.96-3.03
23 Ge 0.6061 0.6061 0.1816  6 Pm 2.96-3.03
24 Ge 0.6061 0.1816 0.6061  6 Pm 2.96-3.03

Calculated values
As for the density of states at the Fermi level: 29.4 states/eV per cell. The calculated volume comes out at 28.89 A^3/atom. Its space-group type is F-43m (216). The calculation puts the total moment at 0.21 Bohr magnetons per cell.

=====

Relative energies, unit meV/atom: w 96; x 0

=====

w | The following is a DFT calculation (PBE) of a geometry-optimized Pm3Al2Ge4 structure.

Cell: 4.2874 6.0104 8.6081 Å, 103.49 90.00 110.90°
Closest atoms and distances in Å follow each position.
Element x y z (fractional)
1 Ge 0.9375 0.8750 0.6117  2 Al 2.47, 1 Ge 2.65
2 Ge 0.0625 0.1250 0.3883  2 Al 2.47, 1 Ge 2.65
3 Ge 0.2842 0.5684 0.9470  1 Al 2.48, 2 Ge 2.52
4 Ge 0.7158 0.4316 0.0530  1 Al 2.48, 2 Ge 2.52
5 Pm 0.3387 0.6775 0.3295  8 Ge 3.20-3.27, 4 Al 3.23-3.27
6 Pm 0.6613 0.3225 0.6705  8 Ge 3.20-3.27, 4 Al 3.23-3.27
7 Pm 0.0000 0.0000 0.0000  8 Ge 3.18-3.34, 4 Al 3.25
8 Al 0.3832 0.7663 0.7198  3 Ge 2.47-2.48
9 Al 0.6168 0.2337 0.2802  3 Ge 2.47-2.48

Calculated values
As for the density of states at the Fermi level: 3.8 states/eV per cell. The calculated volume comes out at 22.30 A^3/atom. Its space-group type is C2/m (12). The calculation puts the total moment at 0.00 Bohr magnetons per cell.

=====

x | The following is a DFT calculation (PBE) of a geometry-optimized Pm3Al2Ge4 structure.

Cell: 4.2744 6.0519 8.8300 Å, 110.69 90.00 110.68°
Closest atoms and distances in Å follow each position.
Element x y z (fractional)
1 Pm 0.0000 0.0000 0.0000  8 Ge 3.12-3.47
2 Pm 0.6214 0.2427 0.6941  7 Ge 2.98-3.26, 3 Al 3.18-3.32
3 Pm 0.3786 0.7573 0.3059  7 Ge 2.98-3.26, 3 Al 3.18-3.32
4 Ge 0.0936 0.1872 0.4043  3 Al 2.53-2.76
5 Ge 0.9064 0.8128 0.5957  3 Al 2.53-2.76
6 Ge 0.7137 0.4275 0.0584  1 Al 2.57, 2 Ge 2.64
7 Ge 0.2863 0.5725 0.9416  1 Al 2.57, 2 Ge 2.64
8 Al 0.6780 0.3560 0.3296  4 Ge 2.53-2.76
9 Al 0.3220 0.6440 0.6704  4 Ge 2.53-2.76

Calculated values
As for the density of states at the Fermi level: 2.9 states/eV per cell. The calculated volume comes out at 21.99 A^3/atom. Its space-group type is C2/m (12). The calculation puts the total moment at 0.00 Bohr magnetons per cell.

=====

Relative energies, unit meV/atom: w 11; x 0

=====

w | The following is a DFT calculation (PBE) of a geometry-optimized PmAl3Ge3 structure.

Cell: 3.8484 9.2829 9.2829 Å, 120.00 90.00 90.00°
Closest atoms and distances in Å follow each position.
Element x y z (fractional)
1 Ge 0.7500 0.6162 0.5745  3 Al 2.62-2.70, 2 Ge 2.70
2 Ge 0.2500 0.0417 0.6162  3 Al 2.62-2.70, 2 Ge 2.70
3 Ge 0.7500 0.9583 0.3838  3 Al 2.62-2.70, 2 Ge 2.70
4 Ge 0.7500 0.4255 0.0417  3 Al 2.62-2.70, 2 Ge 2.70
5 Ge 0.2500 0.5745 0.9583  3 Al 2.62-2.70, 2 Ge 2.70
6 Ge 0.2500 0.3838 0.4255  3 Al 2.62-2.70, 2 Ge 2.70
7 Al 0.7500 0.9414 0.7502  3 Ge 2.62-2.70, 4 Al 2.85
8 Al 0.2500 0.1912 0.9414  3 Ge 2.62-2.70, 4 Al 2.85
9 Al 0.7500 0.2498 0.1912  3 Ge 2.62-2.70, 4 Al 2.85
10 Al 0.2500 0.0586 0.2498  3 Ge 2.62-2.70, 4 Al 2.85
11 Al 0.2500 0.7502 0.8088  3 Ge 2.62-2.70, 4 Al 2.85
12 Al 0.7500 0.8088 0.0586  3 Ge 2.62-2.70, 4 Al 2.85
13 Pm 0.2500 0.6667 0.3333  9 Ge 3.14-3.16
14 Pm 0.7500 0.3333 0.6667  9 Ge 3.14-3.16

Calculated values
As for the density of states at the Fermi level: 7.5 states/eV per cell. The calculated volume comes out at 20.51 A^3/atom. Its space-group type is P6_3/m (176). The calculation puts the total moment at 0.00 Bohr magnetons per cell.

=====

x | The following is a DFT calculation (PBE) of a geometry-optimized PmAl3Ge3 structure.

Cell: 7.2658 7.2658 8.1387 Å, 63.49 63.49 60.00°
Closest atoms and distances in Å follow each position.
Element x y z (fractional)
1 Al 0.8763 0.5391 0.3681  4 Ge 2.54-2.66
2 Al 0.1237 0.4609 0.6319  4 Ge 2.54-2.66
3 Al 0.4609 0.7836 0.6319  4 Ge 2.54-2.66
4 Al 0.5391 0.2164 0.3681  4 Ge 2.54-2.66
5 Al 0.7836 0.1237 0.6319  4 Ge 2.54-2.66
6 Al 0.2164 0.8763 0.3681  4 Ge 2.54-2.66
7 Pm 0.3336 0.3336 0.9991  6 Ge 3.01-3.02
8 Pm 0.6664 0.6664 0.0009  6 Ge 3.01-3.02
9 Ge 0.2398 0.5935 0.2499  4 Al 2.54-2.66
10 Ge 0.9168 0.2398 0.2499  4 Al 2.54-2.66
11 Ge 0.5935 0.9168 0.2499  4 Al 2.54-2.66
12 Ge 0.7602 0.4065 0.7501  4 Al 2.54-2.66
13 Ge 0.0832 0.7602 0.7501  4 Al 2.54-2.66
14 Ge 0.4065 0.0832 0.7501  4 Al 2.54-2.66

Calculated values
As for the density of states at the Fermi level: 2.1 states/eV per cell. The calculated volume comes out at 22.78 A^3/atom. Its space-group type is R-3 (148). The calculation puts the total moment at 0.00 Bohr magnetons per cell.

=====

Relative energies, unit meV/atom: w 123; x 0